No. 1
# SrAs2

A PBEsol-optimized structure of SrAs2 (SCAN, Alexandria via LeMat-Bulk).

Lattice parameters (Å, degrees): 5.1898 5.1898 6.1528 90.00 90.00 120.00
Closest atoms and distances in Å follow each position.
Space group P6_3/mmc (No. 194)
Asymmetric unit:
Sr  0.3333  0.6667  0.2500 [2 per cell]  5 As 3.00-3.08
As  0.0000  0.0000  0.0000 [2 per cell]  8 As 3.08-3.37, 6 Sr 3.37
As  0.3333  0.6667  0.7500 [2 per cell]  5 Sr 3.00-3.08

Computed properties:
Magnetization, μB per formula unit: 0.000

No. 2
# CaGa2Rh2

A PBEsol-optimized structure of CaGa2Rh2 (SCAN, Alexandria via LeMat-Bulk).

Lattice parameters (Å, degrees): 7.3660 7.3660 2.9096 90.00 90.00 90.00
Closest atoms and distances in Å follow each position.
Space group P4/mbm (No. 127)
Asymmetric unit:
Ca  0.0000  0.0000  0.0000 [2 per cell]  4 Rh 2.82, 2 Ca 2.91
Ga  0.1481  0.3519  0.5000 [4 per cell]  6 Rh 2.60, 2 Ga 2.91
Rh  0.1451  0.6451  0.0000 [4 per cell]  6 Ga 2.60, 2 Ca 2.82, 2 Rh 2.91

Computed properties:
Magnetization, μB per formula unit: 0.000

No. 3
# Cs3TiP

A PBEsol-optimized structure of Cs3TiP (SCAN, Alexandria via LeMat-Bulk).

Lattice parameters (Å, degrees): 6.7456 6.7456 6.7456 90.00 90.00 90.00
Closest atoms and distances in Å follow each position.
Space group Pm-3m (No. 221)
Asymmetric unit:
Cs  0.0000  0.0000  0.5000 [3 per cell]  2 P 3.37
Ti  0.5000  0.5000  0.5000 [1 per cell]  12 Cs 4.77
P  0.0000  0.0000  0.0000 [1 per cell]  6 Cs 3.37

Computed properties:
Magnetization, μB per formula unit: 3.472

No. 4
# MnTl2Au

A PBEsol-optimized structure of MnTl2Au (SCAN, Alexandria via LeMat-Bulk).

Lattice parameters (Å, degrees): 4.2437 4.2437 9.0340 90.00 90.00 90.00
Closest atoms and distances in Å follow each position.
Space group I-4m2 (No. 119)
Asymmetric unit:
Mn  0.0000  0.0000  0.0000 [2 per cell]  8 Tl 3.00-3.10, 4 Au 3.10
Tl  0.0000  0.0000  0.5000 [2 per cell]  4 Mn 3.00, 4 Tl 3.10, 4 Au 3.10
Tl  0.0000  0.5000  0.2500 [2 per cell]  4 Au 3.00, 4 Tl 3.10, 4 Mn 3.10
Au  0.0000  0.5000  0.7500 [2 per cell]  8 Tl 3.00-3.10, 4 Mn 3.10

Computed properties:
Energy above the lowest structure with this stoichiometry, meV/atom: 190
Magnetization, μB per formula unit: 4.324

| no. | Fermi-level density of states (states/eV per atom) | E_tot (eV/atom) | ΔH_f (0 K) (meV per atom) |
| --- | --- | --- | --- |
| 1 | 0.66 | -21.25 | -365 |
| 2 | 0.27 | -22.70 | -716 |
| 3 | 1.74 | -27.28 | 690 |
| 4 | 0.44 | -57.91 | 120 |